Run i
{
  "formula": "CeZn4Ni",
  "functional": "PBE",
  "state": "optimized geometry",
  "cell": [[7.4240, 0.0000, 0.0000], [0.0000, 4.0923, 0.0000], [0.0000, 0.0000, 6.7514]],
  "species": ["Ce", "Ce", "Zn", "Zn", "Zn", "Zn", "Zn", "Zn", "Zn", "Zn", "Ni", "Ni"],
  "fractional_positions": [[0.2500, 0.0000, 0.1042], [0.7500, 0.0000, 0.8958], [0.0000, 0.0000, 0.5000], [0.0565, 0.5000, 0.7967], [0.2500, 0.5000, 0.4542], [0.4435, 0.5000, 0.7967], [0.5000, 0.0000, 0.5000], [0.5565, 0.5000, 0.2033], [0.7500, 0.5000, 0.5458], [0.9435, 0.5000, 0.2033], [0.2500, 0.0000, 0.7227], [0.7500, 0.0000, 0.2773]],
  "magmom_total_mub_per_cell": 0.7,
  "spacegroup": "Pmma, No. 51",
  "dos_ef_per_ev_fu": 5.9
}

=====

Run ii
{
  "formula": "CeZn4Ni",
  "functional": "PBE",
  "state": "optimized geometry",
  "cell": [[0.0000, 3.7108, 3.7108], [3.7108, 0.0000, 3.7108], [3.7108, 3.7108, 0.0000]],
  "species": ["Ce", "Zn", "Zn", "Zn", "Zn", "Ni"],
  "fractional_positions": [[0.0000, 0.0000, 0.0000], [0.3763, 0.3763, 0.3763], [0.3763, 0.3763, 0.8711], [0.3763, 0.8711, 0.3763], [0.8711, 0.3763, 0.3763], [0.7500, 0.7500, 0.7500]],
  "magmom_total_mub_per_cell": 1.3,
  "spacegroup": "F-43m, No. 216",
  "dos_ef_per_ev_fu": 8.2
}

=====

Most stable: run i (next structure +187 meV per atom)

=====

Run i
{
  "formula": "Ce2Zn5Ni5",
  "functional": "PBE",
  "state": "optimized geometry",
  "cell": [[3.9994, 0.0000, 0.0000], [0.0000, 5.1988, 0.0000], [0.0000, 0.0000, 8.9936]],
  "species": ["Ce", "Ce", "Zn", "Zn", "Zn", "Zn", "Zn", "Ni", "Ni", "Ni", "Ni", "Ni"],
  "fractional_positions": [[0.0000, 0.0000, 0.0000], [0.0000, 0.5000, 0.5000], [0.0000, 0.0000, 0.3260], [0.0000, 0.0000, 0.6740], [0.0000, 0.5000, 0.1661], [0.0000, 0.5000, 0.8339], [0.5000, 0.0000, 0.5000], [0.5000, 0.2524, 0.2484], [0.5000, 0.2524, 0.7516], [0.5000, 0.5000, 0.0000], [0.5000, 0.7476, 0.2484], [0.5000, 0.7476, 0.7516]],
  "magmom_total_mub_per_cell": 1.0,
  "spacegroup": "Pmmm, No. 47",
  "dos_ef_per_ev_fu": 15.3
}

=====

Run ii
{
  "formula": "Ce2Zn5Ni5",
  "functional": "PBE",
  "state": "optimized geometry",
  "cell": [[4.1512, 0.0000, 0.0000], [0.0000, 5.1043, 0.0000], [0.0000, 0.0000, 8.7956]],
  "species": ["Ce", "Ce", "Zn", "Zn", "Zn", "Zn", "Zn", "Ni", "Ni", "Ni", "Ni", "Ni"],
  "fractional_positions": [[0.0000, 0.0000, 0.0000], [0.0000, 0.5000, 0.5000], [0.5000, 0.0000, 0.5000], [0.5000, 0.2524, 0.2447], [0.5000, 0.2524, 0.7553], [0.5000, 0.7476, 0.2447], [0.5000, 0.7476, 0.7553], [0.0000, 0.0000, 0.3329], [0.0000, 0.0000, 0.6671], [0.0000, 0.5000, 0.1599], [0.0000, 0.5000, 0.8401], [0.5000, 0.5000, 0.0000]],
  "magmom_total_mub_per_cell": 1.3,
  "spacegroup": "Pmmm, No. 47",
  "dos_ef_per_ev_fu": 14.7
}

=====

Most stable: run ii (next structure +55 meV per atom)

=====

Run i
{
  "formula": "CeZn4Ni2",
  "functional": "PBE",
  "state": "optimized geometry",
  "cell": [[1.9814, -7.2697, 0.0000], [1.9814, 7.2697, 0.0000], [0.0000, 0.0000, 3.9236]],
  "species": ["Ce", "Zn", "Zn", "Zn", "Zn", "Ni", "Ni"],
  "fractional_positions": [[0.0000, 0.0000, 0.0000], [0.1847, 0.8153, 0.5000], [0.3164, 0.6836, 0.0000], [0.6836, 0.3164, 0.0000], [0.8153, 0.1847, 0.5000], [0.4187, 0.5813, 0.5000], [0.5813, 0.4187, 0.5000]],
  "magmom_total_mub_per_cell": 0.3,
  "spacegroup": "Cmmm, No. 65",
  "dos_ef_per_ev_fu": 5.9
}

=====

Run ii
{
  "formula": "CeZn4Ni2",
  "functional": "PBE",
  "state": "optimized geometry",
  "cell": [[7.3038, 0.0000, 0.0000], [0.0000, 7.3038, 0.0000], [0.0000, 0.0000, 4.1324]],
  "species": ["Ce", "Ce", "Zn", "Zn", "Zn", "Zn", "Zn", "Zn", "Zn", "Zn", "Ni", "Ni", "Ni", "Ni"],
  "fractional_positions": [[0.0000, 0.0000, 0.0000], [0.5000, 0.5000, 0.5000], [0.0884, 0.3431, 0.5000], [0.1569, 0.5884, 0.0000], [0.3431, 0.0884, 0.5000], [0.4116, 0.8431, 0.0000], [0.5884, 0.1569, 0.0000], [0.6569, 0.9116, 0.5000], [0.8431, 0.4116, 0.0000], [0.9116, 0.6569, 0.5000], [0.2338, 0.7662, 0.5000], [0.2662, 0.2662, 0.0000], [0.7338, 0.7338, 0.0000], [0.7662, 0.2338, 0.5000]],
  "magmom_total_mub_per_cell": 1.1,
  "spacegroup": "P4_2/mnm, No. 136",
  "dos_ef_per_ev_fu": 6.6
}

=====

Most stable: run ii (next structure +63 meV per atom)